[1]
# V2OsF

V2OsF after structural relaxation (PBE+U, Alexandria).

The space group is I-42d (No. 122) and the conventional cell measures 6.117, 6.117 and 6.485 Å, with angles of 90.00, 90.00 and 90.00 degrees. The asymmetric unit holds V at (0.196, 0.750, 0.125), Os at (0.000, 0.000, 0.500) and F at (0.000, 0.000, 0.000).


[2]
# VOs3F

VOs3F after structural relaxation (PBE+U, Alexandria).

The space group is Pm-3m (No. 221) and the conventional cell measures 4.558, 4.558 and 4.558 Å, with angles of 90.00, 90.00 and 90.00 degrees. The asymmetric unit holds V at (0.000, 0.000, 0.000), Os at (0.000, 0.000, 0.500) and F at (0.500, 0.500, 0.500).


[3]
# VOs3F

VOs3F after structural relaxation (PBE+U, Alexandria).

The space group is Pm-3m (No. 221) and the conventional cell measures 4.202, 4.202 and 4.202 Å, with angles of 90.00, 90.00 and 90.00 degrees. The asymmetric unit holds V at (0.000, 0.000, 0.000), Os at (0.000, 0.500, 0.500) and F at (0.500, 0.500, 0.500).


[4]
# V2OsF

V2OsF after structural relaxation (PBE+U, Alexandria).

The space group is Fm-3m (No. 225) and the conventional cell measures 6.150, 6.150 and 6.150 Å, with angles of 90.00, 90.00 and 90.00 degrees. The asymmetric unit holds V at (0.250, 0.250, 0.250), Os at (0.000, 0.000, 0.000) and F at (0.000, 0.000, 0.500).


[5]
# V2Os2F

V2Os2F after structural relaxation (PBE+U, Alexandria).

The space group is P4/mbm (No. 127) and the conventional cell measures 7.251, 7.251 and 2.913 Å, with angles of 90.00, 90.00 and 90.00 degrees. The asymmetric unit holds V at (0.163, 0.337, 0.000), Os at (0.132, 0.632, 0.500) and F at (0.000, 0.000, 0.000).


[6]
# V3OsF

V3OsF after structural relaxation (PBE+U, Alexandria).

The space group is Pm-3m (No. 221) and the conventional cell measures 4.881, 4.881 and 4.881 Å, with angles of 90.00, 90.00 and 90.00 degrees. The asymmetric unit holds V at (0.000, 0.000, 0.500), Os at (0.000, 0.000, 0.000) and F at (0.500, 0.500, 0.500).


| no. | total energy (hartree per atom) | offset from the most stable computed form (meV per atom) | Fermi-level density of states (states/eV per cell) |
| --- | --- | --- | --- |
| 1 | -0.248 | 0 | 11.0 |
| 2 | -0.231 | 685 | 5.0 |
| 3 | -0.256 | 0 | 4.8 |
| 4 | -0.240 | 217 | 7.3 |
| 5 | -0.268 | 0 | 5.4 |
| 6 | -0.215 | 721 | 3.2 |